Entry P
First-principles (GGA-PBE) data for CeHg4Pb after structural relaxation, as listed in the Alexandria database.

Results
As for the space group: F-43m. As for the crystal system: cubic. Its density of states at the Fermi level is 11.12 states/eV/f.u. The magnetization comes out at 1.24 μB/f.u.

a b c (Å): 6.115 6.115 6.115
angles (deg): 60.00 60.00 60.00
Site moments in Bohr magnetons follow the coordinates.
Fractional positions:
1 Pb 0.000 0.000 0.000  0.02
2 Hg 0.625 0.625 0.125  0.00
3 Hg 0.625 0.125 0.625  0.00
4 Hg 0.625 0.625 0.625  0.00
5 Hg 0.125 0.625 0.625  0.00
6 Ce 0.250 0.250 0.250  1.06

Entry Q
First-principles (GGA-PBE) data for CeHg4Pb after structural relaxation, as listed in the Alexandria database.

Results
As for the space group: C2/m. As for the crystal system: monoclinic. Its density of states at the Fermi level is 8.63 states/eV/f.u. The magnetization comes out at 1.06 μB/f.u.

a b c (Å): 5.161 5.161 8.527
angles (deg): 107.31 72.38 60.00
Site moments in Bohr magnetons follow the coordinates.
Fractional positions:
1 Ce 0.500 0.500 0.500  0.87
2 Hg 0.403 0.930 0.263  0.01
3 Hg 0.597 0.070 0.737  0.01
4 Hg 0.932 0.401 0.735  0.01
5 Hg 0.068 0.599 0.265  0.01
6 Pb 0.000 0.000 0.000  0.01

Which one is most stable, and which one is least stable? entry Q is the most stable of them, while entry P is the least stable.

Entry P
First-principles (GGA-PBE) data for Ce2Hg6Pb after structural relaxation, as listed in the Alexandria database.

Results
As for the space group: R-3m. As for the crystal system: trigonal. Its density of states at the Fermi level is 14.80 states/eV/f.u. The magnetization comes out at 2.27 μB/f.u.

a b c (Å): 6.165 8.918 8.520
angles (deg): 121.56 133.70 90.00
Site moments in Bohr magnetons follow the coordinates.
Fractional positions:
1 Ce 0.671 0.672 0.344  0.94
2 Ce 0.329 0.328 0.656  0.94
3 Hg 0.164 0.500 0.332  0.00
4 Hg 0.836 0.168 0.668  0.00
5 Hg 0.836 0.500 0.668  0.00
6 Hg 0.500 0.168 0.000  0.00
7 Hg 0.164 0.832 0.332  0.00
8 Hg 0.500 0.832 0.000  0.00
9 Pb 0.000 0.000 0.000  0.00

Entry Q
First-principles (GGA-PBE) data for Ce2Hg6Pb after structural relaxation, as listed in the Alexandria database.

Results
As for the space group: C2/m. As for the crystal system: monoclinic. Its density of states at the Fermi level is 15.73 states/eV/f.u. The magnetization comes out at 2.32 μB/f.u.

a b c (Å): 4.590 7.785 7.389
angles (deg): 107.32 108.10 90.00
Site moments in Bohr magnetons follow the coordinates.
Fractional positions:
1 Ce 0.929 0.173 0.858  0.94
2 Ce 0.071 0.827 0.142  0.94
3 Hg 0.390 0.837 0.781  0.01
4 Hg 0.610 0.163 0.219  0.01
5 Hg 0.733 0.811 0.465  0.01
6 Hg 0.164 0.487 0.327  0.00
7 Hg 0.267 0.189 0.535  0.01
8 Hg 0.836 0.513 0.673  0.00
9 Pb 0.500 0.500 0.000  0.00

Which one is most stable, and which one is least stable? entry P is the most stable of them, while entry Q is the least stable.

Entry P
First-principles (GGA-PBE) data for Ce4HgPb3 after structural relaxation, as listed in the Alexandria database.

Results
As for the space group: I4/mmm. As for the crystal system: tetragonal. Its density of states at the Fermi level is 26.52 states/eV/f.u. The magnetization comes out at 5.12 μB/f.u.

a b c (Å): 5.063 5.063 9.737
angles (deg): 105.07 105.07 90.00
Site moments in Bohr magnetons follow the coordinates.
Fractional positions:
1 Pb 0.000 0.500 0.000  -0.03
2 Pb 0.750 0.250 0.500  -0.02
3 Pb 0.250 0.750 0.500  -0.02
4 Hg 0.500 0.000 0.000  0.01
5 Ce 0.377 0.377 0.754  0.97
6 Ce 0.623 0.623 0.246  0.97
7 Ce 0.123 0.123 0.246  0.97
8 Ce 0.877 0.877 0.754  0.97

Entry Q
First-principles (GGA-PBE) data for Ce4HgPb3 after structural relaxation, as listed in the Alexandria database.

Results
As for the space group: C2/m. As for the crystal system: monoclinic. Its density of states at the Fermi level is 16.11 states/eV/f.u. The magnetization comes out at 0.14 μB/f.u.

a b c (Å): 4.253 5.313 10.280
angles (deg): 104.92 101.94 90.00
Fractional positions:
1 Ce 0.231 0.731 0.463
2 Ce 0.769 0.269 0.537
3 Ce 0.624 0.625 0.249
4 Ce 0.376 0.375 0.751
5 Hg 0.500 0.000 0.000
6 Pb 0.000 0.500 0.000
7 Pb 0.134 0.135 0.269
8 Pb 0.866 0.865 0.731

Which one is most stable, and which one is least stable? entry P is the most stable of them, while entry Q is the least stable.

Entry P
First-principles (GGA-PBE) data for Ce2HgPb3 after structural relaxation, as listed in the Alexandria database.

Results
As for the space group: Cmmm. As for the crystal system: orthorhombic. Its density of states at the Fermi level is 13.20 states/eV/f.u. The magnetization comes out at 1.75 μB/f.u.

a b c (Å): 4.605 4.810 8.150
angles (deg): 90.00 106.41 90.00
Site moments in Bohr magnetons follow the coordinates.
Fractional positions:
1 Ce 0.150 0.500 0.300  0.77
2 Ce 0.850 0.500 0.700  0.77
3 Hg 0.000 0.000 0.000  0.01
4 Pb 0.326 0.000 0.651  0.00
5 Pb 0.674 0.000 0.349  0.00
6 Pb 0.500 0.500 0.000  0.01

Entry Q
First-principles (GGA-PBE) data for Ce2HgPb3 after structural relaxation, as listed in the Alexandria database.

Results
As for the space group: Immm. As for the crystal system: orthorhombic. Its density of states at the Fermi level is 15.04 states/eV/f.u. The magnetization comes out at 1.60 μB/f.u.

a b c (Å): 5.477 6.536 6.850
angles (deg): 118.49 113.56 90.00
Site moments in Bohr magnetons follow the coordinates.
Fractional positions:
1 Ce 0.680 0.180 0.360  0.72
2 Ce 0.320 0.820 0.640  0.72
3 Hg 0.000 0.500 0.000  0.01
4 Pb 0.340 0.340 0.679  0.00
5 Pb 0.000 0.000 0.000  0.00
6 Pb 0.660 0.660 0.321  0.00

Which one is most stable, and which one is least stable? entry P is the most stable of them, while entry Q is the least stable.

Entry P
First-principles (GGA-PBE) data for CeTlHgPb after structural relaxation, as listed in the Alexandria database.

Results
As for the space group: F-43m. As for the crystal system: cubic. Its density of states at the Fermi level is 7.63 states/eV/f.u. The magnetization comes out at 1.07 μB/f.u.

a b c (Å): 5.448 5.448 5.448
angles (deg): 60.00 60.00 60.00
Site moments in Bohr magnetons follow the coordinates.
Fractional positions:
1 Pb 0.750 0.750 0.750  -0.01
2 Tl 0.000 0.000 0.000  0.01
3 Hg 0.500 0.500 0.500  0.00
4 Ce 0.250 0.250 0.250  0.98

Entry Q
First-principles (GGA-PBE) data for CeTlHgPb after structural relaxation, as listed in the Alexandria database.

Results
As for the space group: Pmmm. As for the crystal system: orthorhombic. Its density of states at the Fermi level is 6.80 states/eV/f.u. The magnetization comes out at 0.94 μB/f.u.

a b c (Å): 4.681 4.965 4.756
angles (deg): 90.00 90.00 90.00
Site moments in Bohr magnetons follow the coordinates.
Fractional positions:
1 Ce 0.500 0.000 0.500  0.81
2 Tl 0.000 0.500 0.500  0.01
3 Hg 0.500 0.500 0.000  0.00
4 Pb 0.000 0.000 0.000  0.00

Which one is most stable, and which one is least stable? entry Q is the most stable of them, while entry P is the least stable.

Entry P
First-principles (GGA-PBE) data for Ce2HgPd after structural relaxation, as listed in the Alexandria database.

Results
As for the space group: Imma. As for the crystal system: orthorhombic. Its density of states at the Fermi level is 9.69 states/eV/f.u. The magnetization comes out at 1.72 μB/f.u.

a b c (Å): 7.164 6.324 6.324
angles (deg): 74.20 55.50 55.50
Site moments in Bohr magnetons follow the coordinates.
Fractional positions:
1 Ce 0.202 0.298 0.798  0.75
2 Ce 0.298 0.702 0.202  0.75
3 Ce 0.798 0.702 0.202  0.75
4 Ce 0.702 0.298 0.798  0.75
5 Hg 0.250 0.201 0.299  0.00
6 Hg 0.750 0.799 0.701  0.00
7 Pd 0.750 0.197 0.303  0.00
8 Pd 0.250 0.803 0.697  0.00

Entry Q
First-principles (GGA-PBE) data for Ce2HgPd after structural relaxation, as listed in the Alexandria database.

Results
As for the space group: R-3m. As for the crystal system: trigonal. Its density of states at the Fermi level is 12.83 states/eV/f.u. The magnetization comes out at 2.05 μB/f.u.

a b c (Å): 3.990 3.990 8.539
angles (deg): 76.49 76.49 60.00
Site moments in Bohr magnetons follow the coordinates.
Fractional positions:
1 Pd 0.000 0.000 0.000  -0.02
2 Hg 0.500 0.500 0.500  0.02
3 Ce 0.261 0.261 0.216  0.83
4 Ce 0.739 0.739 0.784  0.83

Entry R
First-principles (GGA-PBE) data for Ce2HgPd after structural relaxation, as listed in the Alexandria database.

Results
As for the space group: Fm-3m. As for the crystal system: cubic. Its density of states at the Fermi level is 13.51 states/eV/f.u. The magnetization comes out at 1.83 μB/f.u.

a b c (Å): 5.233 5.233 5.233
angles (deg): 60.00 60.00 60.00
Site moments in Bohr magnetons follow the coordinates.
Fractional positions:
1 Pd 0.500 0.500 0.500  -0.04
2 Hg 0.000 0.000 0.000  0.01
3 Ce 0.250 0.250 0.250  0.79
4 Ce 0.750 0.750 0.750  0.79

Entry S
First-principles (GGA-PBE) data for Ce2HgPd after structural relaxation, as listed in the Alexandria database.

Results
As for the space group: P4/mmm. As for the crystal system: tetragonal. Its density of states at the Fermi level is 9.54 states/eV/f.u. The magnetization comes out at 1.51 μB/f.u.

a b c (Å): 3.822 3.822 6.787
angles (deg): 90.00 90.00 90.00
Site moments in Bohr magnetons follow the coordinates.
Fractional positions:
1 Pd 0.500 0.500 0.000  -0.01
2 Hg 0.500 0.500 0.500  0.00
3 Ce 0.000 0.000 0.787  0.67
4 Ce 0.000 0.000 0.213  0.67

Which one is most stable, and which one is least stable? entry S is the most stable of them, while entry Q is the least stable.

Entry P
First-principles (GGA-PBE) data for CeHgPd6 after structural relaxation, as listed in the Alexandria database.

Results
As for the space group: P4/mmm. As for the crystal system: tetragonal. Its density of states at the Fermi level is 3.80 states/eV/f.u. The magnetization comes out at 0.00 μB/f.u.

a b c (Å): 4.123 4.123 8.154
angles (deg): 90.00 90.00 90.00
Fractional positions:
1 Ce 0.000 0.000 0.500
2 Hg 0.000 0.000 0.000
3 Pd 0.500 0.500 0.000
4 Pd 0.500 0.500 0.500
5 Pd 0.500 0.000 0.251
6 Pd 0.500 0.000 0.749
7 Pd 0.000 0.500 0.251
8 Pd 0.000 0.500 0.749

Entry Q
First-principles (GGA-PBE) data for CeHgPd6 after structural relaxation, as listed in the Alexandria database.

Results
As for the space group: C2/m. As for the crystal system: monoclinic. Its density of states at the Fermi level is 4.40 states/eV/f.u. The magnetization comes out at 0.12 μB/f.u.

a b c (Å): 4.980 4.980 7.210
angles (deg): 76.10 76.10 66.48
Site moments in Bohr magnetons follow the coordinates.
Fractional positions:
1 Ce 0.500 0.500 0.500  -0.14
2 Hg 0.000 0.000 0.000  0.00
3 Pd 0.052 0.535 0.301  0.01
4 Pd 0.535 0.052 0.301  0.01
5 Pd 0.465 0.948 0.699  0.01
6 Pd 0.948 0.465 0.699  0.01
7 Pd 0.363 0.363 0.933  0.01
8 Pd 0.637 0.637 0.067  0.01

Which one is most stable, and which one is least stable? entry P is the most stable of them, while entry Q is the least stable.

Entry P
First-principles (GGA-PBE) data for Ce2PmHg4 after structural relaxation, as listed in the Alexandria database.

Results
As for the space group: Cmmm. As for the crystal system: orthorhombic. Its density of states at the Fermi level is 18.29 states/eV/f.u. The magnetization comes out at 2.11 μB/f.u.

a b c (Å): 5.296 6.468 6.468
angles (deg): 105.42 90.00 90.00
Site moments in Bohr magnetons follow the coordinates.
Fractional positions:
1 Hg 0.000 0.712 0.712  0.01
2 Hg 0.000 0.288 0.288  0.01
3 Hg 0.500 0.000 0.500  0.01
4 Hg 0.500 0.500 0.000  0.01
5 Ce 0.000 0.784 0.216  0.90
6 Ce 0.000 0.216 0.784  0.90
7 Pm 0.500 0.500 0.500  0.00

Entry Q
First-principles (GGA-PBE) data for Ce2PmHg4 after structural relaxation, as listed in the Alexandria database.

Results
As for the space group: Cmmm. As for the crystal system: orthorhombic. Its density of states at the Fermi level is 11.01 states/eV/f.u. The magnetization comes out at 1.38 μB/f.u.

a b c (Å): 3.474 5.891 9.937
angles (deg): 107.24 90.00 90.00
Site moments in Bohr magnetons follow the coordinates.
Fractional positions:
1 Ce 0.500 0.070 0.139  0.58
2 Ce 0.500 0.930 0.861  0.58
3 Pm 0.000 0.500 0.000  0.00
4 Hg 0.500 0.648 0.296  0.00
5 Hg 0.000 0.786 0.572  0.00
6 Hg 0.500 0.352 0.704  0.00
7 Hg 0.000 0.214 0.428  0.00

Which one is most stable, and which one is least stable? entry P is the most stable of them, while entry Q is the least stable.